# 1
A plane-wave DFT calculation with GGA-PBE was carried out for a relaxed structure of BaTa2Cd.

Cell lengths 3.1899, 4.2887, 7.6621 Å; angles 90.00, 90.00, 90.00 degrees
Fractional coordinates of all 4 atoms:
Ta 0.0000 0.0000 0.9162
Ta 0.0000 0.0000 0.5838
Ba 0.5000 0.5000 0.2500
Cd 0.5000 0.5000 0.7500

Properties
Its total moment is 0.00 μB per formula unit. As for the energy of formation from the pure elements: 0.899 eV/atom. Its excess energy over the best structure of this formula in the dataset is 1.84 eV/f.u. The calculation puts the total energy at -5.736 eV/atom. Its crystal system is orthorhombic. The density of states at the Fermi level is 5.064 states/eV per cell.


# 2
A plane-wave DFT calculation with GGA-PBE was carried out for a relaxed structure of BaTa2Cd.

Cell lengths 3.5130, 3.5374, 9.1018 Å; angles 67.15, 90.00, 90.00 degrees
Fractional coordinates of all 4 atoms:
Cd 0.5000 0.6899 0.8104
Ta 0.5000 0.3294 0.1701
Ta 0.0000 0.9694 0.0300
Ba 0.0000 0.5113 0.4894

Properties
Its total moment is 0.00 μB per formula unit. As for the energy of formation from the pure elements: 0.438 eV/atom. Its excess energy over the best structure of this formula in the dataset is 0.00 eV/f.u. The calculation puts the total energy at -6.198 eV/atom. Its crystal system is orthorhombic. The density of states at the Fermi level is 3.689 states/eV per cell.


# 3
A plane-wave DFT calculation with GGA-PBE was carried out for a relaxed structure of Ba2TaCd.

Cell lengths 11.8796, 11.8796, 11.8796 Å; angles 17.41, 17.41, 17.41 degrees
Fractional coordinates of all 4 atoms:
Ba 0.0159 0.0159 0.0159
Ba 0.2360 0.2360 0.2360
Cd 0.4879 0.4879 0.4879
Ta 0.7602 0.7602 0.7602

Properties
Its total moment is 0.00 μB per formula unit. As for the energy of formation from the pure elements: 0.775 eV/atom. Its excess energy over the best structure of this formula in the dataset is 0.75 eV/f.u. The calculation puts the total energy at -3.379 eV/atom. Its crystal system is trigonal. The density of states at the Fermi level is 4.660 states/eV per cell.


# 4
A plane-wave DFT calculation with GGA-PBE was carried out for a relaxed structure of Ba2TaCd.

Cell lengths 7.1552, 7.1552, 7.1552 Å; angles 150.60, 130.64, 58.50 degrees
Site moments in Bohr magnetons follow the coordinates.
Fractional coordinates of all 4 atoms:
Ba 0.0269 0.0269 0.0000  0.04
Ba 0.7256 0.2256 0.5000  0.02
Cd 0.4624 0.4624 0.0000  -0.01
Ta 0.2851 0.7851 0.5000  0.61

Properties
Its total moment is 1.08 μB per formula unit. As for the energy of formation from the pure elements: 0.640 eV/atom. Its excess energy over the best structure of this formula in the dataset is 0.22 eV/f.u. The calculation puts the total energy at -3.513 eV/atom. Its crystal system is orthorhombic. The density of states at the Fermi level is 4.283 states/eV per cell.


# 5
A plane-wave DFT calculation with GGA-PBE was carried out for a relaxed structure of Ba2TaCd.

Cell lengths 11.9301, 11.9301, 11.9301 Å; angles 17.15, 17.15, 17.15 degrees
Fractional coordinates of all 4 atoms:
Ba 0.4945 0.4945 0.4945
Ba 0.0055 0.0055 0.0055
Cd 0.2500 0.2500 0.2500
Ta 0.7500 0.7500 0.7500

Properties
Its total moment is 0.00 μB per formula unit. As for the energy of formation from the pure elements: 0.777 eV/atom. Its excess energy over the best structure of this formula in the dataset is 0.77 eV/f.u. The calculation puts the total energy at -3.376 eV/atom. Its crystal system is trigonal. The density of states at the Fermi level is 3.343 states/eV per cell.


# 6
A plane-wave DFT calculation with GGA-PBE was carried out for a relaxed structure of BaTa2Cd.

Cell lengths 3.0768, 3.0768, 10.6917 Å; angles 90.00, 90.00, 108.55 degrees
Fractional coordinates of all 4 atoms:
Ta 0.0000 0.0000 0.0131
Ta 0.5000 0.5000 0.2041
Cd 0.5000 0.5000 0.7870
Ba 0.0000 0.0000 0.4958

Properties
Its total moment is 0.00 μB per formula unit. As for the energy of formation from the pure elements: 0.522 eV/atom. Its excess energy over the best structure of this formula in the dataset is 0.34 eV/f.u. The calculation puts the total energy at -6.114 eV/atom. Its crystal system is orthorhombic. The density of states at the Fermi level is 3.065 states/eV per cell.